Entry 1:
An optimized crystal structure of EuErScIn, computed with PBE.

```
data_EuErScIn
_chemical_formula_sum 'Eu4 Er4 Sc4 In4'
_symmetry_space_group_name_H-M 'F -4 3 m'
_symmetry_Int_Tables_number 216
_symmetry_space_group_name_Hall 'F -4 2 3'
_cell_length_a 7.582
_cell_length_b 7.582
_cell_length_c 7.582
_cell_angle_alpha 90.00
_cell_angle_beta 90.00
_cell_angle_gamma 90.00
loop_
_atom_site_label
_atom_site_type_symbol
_atom_site_fract_x
_atom_site_fract_y
_atom_site_fract_z
Eu1 Eu 0.000 0.000 0.000
Er1 Er 0.250 0.250 0.250
Sc1 Sc 0.250 0.250 0.750
In1 In 0.000 0.000 0.500
```

Final energy = -6.058 eV per atom
DOS(E_F) = 1.75 states/eV/atom
Calculated formation energy = -81 meV per atom



Entry 2:
An optimized crystal structure of EuErInSn, computed with PBE.

```
data_EuErInSn
_chemical_formula_sum 'Eu4 Er4 In4 Sn4'
_symmetry_space_group_name_H-M 'F -4 3 m'
_symmetry_Int_Tables_number 216
_symmetry_space_group_name_Hall 'F -4 2 3'
_cell_length_a 7.647
_cell_length_b 7.647
_cell_length_c 7.647
_cell_angle_alpha 90.00
_cell_angle_beta 90.00
_cell_angle_gamma 90.00
loop_
_atom_site_label
_atom_site_type_symbol
_atom_site_fract_x
_atom_site_fract_y
_atom_site_fract_z
Eu1 Eu 0.000 0.000 0.000
Er1 Er 0.000 0.000 0.500
In1 In 0.250 0.250 0.750
Sn1 Sn 0.250 0.250 0.250
```

Final energy = -5.897 eV per atom
DOS(E_F) = 0.51 states/eV/atom
Calculated formation energy = -502 meV per atom



Entry 3:
An optimized crystal structure of TbEuErIn, computed with PBE.

```
data_TbEuErIn
_chemical_formula_sum 'Tb4 Eu4 Er4 In4'
_symmetry_space_group_name_H-M 'F -4 3 m'
_symmetry_Int_Tables_number 216
_symmetry_space_group_name_Hall 'F -4 2 3'
_cell_length_a 7.776
_cell_length_b 7.776
_cell_length_c 7.776
_cell_angle_alpha 90.00
_cell_angle_beta 90.00
_cell_angle_gamma 90.00
loop_
_atom_site_label
_atom_site_type_symbol
_atom_site_fract_x
_atom_site_fract_y
_atom_site_fract_z
Tb1 Tb 0.000 0.000 0.000
Eu1 Eu 0.250 0.250 0.250
Er1 Er 0.000 0.000 0.500
In1 In 0.250 0.250 0.750
```

Final energy = -5.663 eV per atom
DOS(E_F) = 1.26 states/eV/atom
Calculated formation energy = -112 meV per atom